This record from Alexandria describes a geometry-optimized BeH8SeO8 structure. The functional is PBEsol.

The calculation puts the density of states at the Fermi level at 0.0 states/eV per cell. The value obtained for the total moment is 0.00 μB per formula unit. Its density is 2.04 g/cm³. As for the electronic total energy: -5.418 eV per atom.

a b c (Å): 11.9732 11.3210 10.7534
angles (deg): 90.00 90.00 90.00
Space group Cmce (No. 64)
Unique sites:
Be  0.0000  0.2488  0.2325 [8 per cell]
H  0.0688  0.0686  0.1580 [16 per cell]
H  0.0686  0.1330  0.5764 [16 per cell]
H  0.1416  0.1532  0.8346 [16 per cell]
H  0.1448  0.2051  0.3685 [16 per cell]
Se  0.2492  0.0000  0.0000 [8 per cell]
O  0.0000  0.1150  0.1817 [8 per cell]
O  0.0000  0.1464  0.6297 [8 per cell]
O  0.1166  0.2344  0.8074 [16 per cell]
O  0.1694  0.0179  0.8742 [16 per cell]
O  0.1717  0.1198  0.4846 [16 per cell]